Ac4PrPb3 after structural relaxation, computed with GGA-PBE.

- uncorrected energy (eV per atom) = -4.36
- magnetization (μB per atom) = 0.00

The structure in POSCAR format:
```
Ac4PrPb3
1.0
-0.168 -3.950 -2.600
0.997 -2.627 3.925
-15.744 7.391 -5.902
Ac Pr Pb
4 1 3
Cartesian
-3.890 -0.947 -2.614 Ac
-11.025 1.762 -1.963 Ac
-8.170 -1.316 -1.778 Ac
-6.745 2.131 -2.800 Ac
-0.084 -1.975 -1.300 Pr
0.499 -1.313 1.962 Pb
-2.389 -0.207 0.469 Pb
-12.526 1.022 -5.047 Pb
```

---

Ac2DyAg2O6 after structural relaxation, computed with GGA-PBE.

- magnetization (μB per atom) = 0.06
- uncorrected formation energy (meV per atom) = -1991

The structure in POSCAR format:
```
Ac2DyAg2O6
1.0
6.390 0.000 0.000
3.195 5.533 0.000
3.195 1.844 5.651
Ac Dy Ag O
2 1 2 6
Cartesian
9.584 5.533 3.433 Ac
3.195 1.844 2.218 Ac
0.000 0.000 0.000 Dy
6.390 3.689 4.282 Ag
6.390 3.689 1.369 Ag
8.224 4.748 1.631 O
4.555 4.748 1.631 O
6.390 1.571 1.631 O
6.390 5.807 4.020 O
8.224 2.630 4.020 O
4.555 2.630 4.020 O
```

---

Li2Hf2USe6 after structural relaxation, computed with GGA-PBE.

- magnetization (μB per atom) = 0.32
- uncorrected formation energy (meV per atom) = -1256

The structure in POSCAR format:
```
Li2Hf2USe6
1.0
-5.857 -0.859 3.119
2.491 -4.824 -3.910
4.261 -0.686 5.448
Li Hf U Se
2 2 1 6
Cartesian
-4.492 -1.507 1.970 Li
1.126 -4.176 -2.761 Li
1.831 -3.842 1.163 Hf
-0.935 -2.528 3.493 Hf
2.131 -0.343 2.724 U
0.730 -4.674 3.503 Se
3.788 -2.661 2.637 Se
0.166 -1.696 1.153 Se
0.861 -1.270 5.102 Se
-2.893 -3.708 2.019 Se
0.034 -5.099 -0.446 Se
```

---

Cu3W after structural relaxation, computed with GGA-PBE.

- uncorrected energy (eV per atom) = -6.07
- magnetization (μB per atom) = 0.00

The structure in POSCAR format:
```
Cu3W
1.0
4.054 -4.026 0.000
4.054 4.026 0.000
0.000 0.000 3.244
Cu W
6 2
Cartesian
4.054 3.085 0.811 Cu
4.054 -3.085 2.433 Cu
1.941 1.030 0.811 Cu
6.168 -1.030 2.433 Cu
1.941 -1.030 2.433 Cu
6.168 1.030 0.811 Cu
4.054 -0.959 0.811 W
4.054 0.959 2.433 W
```

---

AlGeOsRu after structural relaxation, computed with GGA-PBE.

- uncorrected energy (eV per atom) = -7.52
- magnetization (μB per atom) = 0.00

The structure in POSCAR format:
```
AlGeOsRu
1.0
-4.115 -1.037 -0.546
-2.107 -2.089 3.083
-3.030 2.007 2.259
Ru Ge Os Al
1 1 1 1
Cartesian
-4.626 -0.560 2.398 Ru
-2.313 -0.280 1.199 Ge
0.000 0.000 0.000 Os
-6.939 -0.840 3.596 Al
```

---

Co5As after structural relaxation, computed with GGA-PBE.

- uncorrected energy (eV per atom) = -6.64
- magnetization (μB per atom) = 1.23

The structure in POSCAR format:
```
Co5As
1.0
1.332 4.565 0.008
-1.332 4.565 0.008
0.000 1.558 5.694
Co As
5 1
Cartesian
0.000 7.117 3.766 Co
0.000 3.526 1.956 Co
0.000 4.609 4.087 Co
0.000 1.083 2.233 Co
0.000 6.752 0.370 Co
0.000 1.626 5.654 As
```

---

Tb3Dy4Hg4 after structural relaxation, computed with GGA-PBE.

- uncorrected energy (eV per atom) = -3.29
- magnetization (μB per atom) = 0.00

The structure in POSCAR format:
```
Tb3Dy4Hg4
1.0
-2.877 3.484 -2.564
-3.384 -5.326 -3.440
-2.632 0.647 9.096
Tb Dy Hg
3 4 4
Cartesian
-1.166 -0.055 1.233 Tb
-7.727 -1.140 1.859 Tb
-1.692 -2.663 -1.720 Tb
-2.916 1.070 4.726 Dy
-4.394 0.227 -0.024 Dy
-5.977 -2.265 -1.633 Dy
-4.499 -1.423 3.116 Dy
-3.807 -2.764 0.516 Hg
-5.086 1.568 2.576 Hg
-4.120 -2.479 -4.008 Hg
-2.141 0.636 -1.996 Hg
```

---

Ta3Ni2Rh8 after structural relaxation, computed with GGA-PBE.

- uncorrected energy (eV per atom) = -8.07
- magnetization (μB per atom) = 0.22

The structure in POSCAR format:
```
Ta3Ni2Rh8
1.0
5.110 0.000 0.000
2.555 4.426 0.000
2.555 1.475 9.056
Ta Ni Rh
3 2 8
Cartesian
0.000 0.000 0.000 Ta
7.666 4.426 5.013 Ta
2.555 1.475 4.043 Ta
5.110 2.950 0.728 Ni
5.110 2.950 8.328 Ni
7.666 4.426 7.518 Rh
2.555 1.475 1.538 Rh
3.838 3.685 2.746 Rh
5.110 1.481 2.746 Rh
6.383 3.685 2.746 Rh
5.110 4.420 6.309 Rh
6.383 2.216 6.309 Rh
3.838 2.216 6.309 Rh
```

---

MgNpGe after structural relaxation, computed with GGA-PBE.

- uncorrected energy (eV per atom) = -6.47
- magnetization (μB per atom) = 1.49

The structure in POSCAR format:
```
MgNpGe
1.0
-3.342 -4.809 -0.280
2.842 -2.240 4.542
-5.439 3.550 3.957
Ge Np Mg
4 4 4
Cartesian
-4.906 -0.407 4.173 Ge
-4.126 -4.376 1.634 Ge
-1.034 -3.092 4.045 Ge
-1.814 0.877 6.584 Ge
1.304 -1.119 3.646 Np
-1.787 -2.404 1.235 Np
-7.244 -2.380 4.572 Np
-4.152 -1.096 6.983 Np
-0.714 -1.669 6.450 Mg
-2.133 -0.546 4.179 Mg
-5.225 -1.831 1.768 Mg
-3.806 -2.953 4.039 Mg
```

---

Question: Among the records above, which one has the highest magnetization?
Answer: MgNpGe